A plane-wave DFT calculation with PBE was carried out for an optimized crystal structure of NaMn2Rh.

E, Ry/atom: -0.4227
Total moment, μB/f.u.: 0.00
Offset from the most stable computed form, meV/atom: 0

a = 4.2369 Å, b = 4.2369 Å, c = 4.2369 Å
α = 60.00°, β = 60.00°, γ = 60.00°
Closest atoms and distances in Å follow each position.
Element x y z (fractional)
Mn 0.7500 0.7500 0.7500  4 Rh 2.59, 4 Na 2.59
Rh 0.5000 0.5000 0.5000  8 Mn 2.59
Na 0.0000 0.0000 0.0000  8 Mn 2.59
Mn 0.2500 0.2500 0.2500  4 Na 2.59, 4 Rh 2.59